VASP calculation (PBE) on Te2MoRh after structural relaxation.

```
16
Lattice="6.016 0.000 0.000 0.000 6.016 0.000 0.000 0.000 11.935" Properties=species:S:1:pos:R:3 pbc="T T T"
Te 1.471 1.504 1.492
Te 1.504 4.479 4.476
Te 1.504 4.545 10.443
Te 1.537 1.504 7.459
Te 4.479 4.512 7.459
Te 4.512 1.471 10.443
Te 4.512 1.537 4.476
Te 4.545 4.512 1.492
Mo 0.000 0.000 5.967
Mo 0.000 3.008 8.951
Mo 3.008 0.000 2.984
Mo 3.008 3.008 0.000
Rh 0.000 0.000 0.000
Rh 0.000 3.008 2.984
Rh 3.008 0.000 8.951
Rh 3.008 3.008 5.967
```

Calculated values
Spin magnetization   0.0 μB/f.u.
Uncorrected energy   -5.79 eV/atom
Polymorph energy (0 for the lowest one)   428 meV per atom
SG   I-42d, No. 122
ΔE_f (raw)   0.322 eV/atom